(1)
Material: Nd2Y5Th
Method: DFT, PBE
State: optimized geometry

abc: 5.111 7.187 14.410
angles: 90.00 90.00 90.00
Element x y z (fractional)
Nd1 0.500 0.248 0.623
Nd2 0.500 0.752 0.377
Nd3 0.500 0.252 0.123
Nd4 0.500 0.748 0.877
Y1 0.000 0.000 0.000
Y2 0.000 0.500 0.500
Y3 0.000 0.506 0.752
Y4 0.000 0.494 0.248
Y5 0.000 0.994 0.252
Y6 0.000 0.006 0.748
Y7 0.500 0.259 0.878
Y8 0.500 0.741 0.122
Y9 0.500 0.241 0.378
Y10 0.500 0.759 0.622
Th1 0.000 0.000 0.500
Th2 0.000 0.500 0.000

## Properties
Theoretical density = 6054 kg/m3


(2)
Material: Nd2Y5Th
Method: DFT, PBE
State: optimized geometry

abc: 6.970 6.632 23.328
angles: 90.00 90.00 90.00
Element x y z (fractional)
Nd1 0.155 0.257 0.753
Nd2 0.655 0.243 0.747
Nd3 0.845 0.757 0.747
Nd4 0.345 0.743 0.753
Nd5 0.845 0.743 0.247
Nd6 0.345 0.757 0.253
Nd7 0.155 0.243 0.253
Nd8 0.655 0.257 0.247
Y1 0.250 0.000 0.507
Y2 0.750 0.500 0.993
Y3 0.750 0.000 0.493
Y4 0.250 0.500 0.007
Y5 0.439 0.187 0.379
Y6 0.939 0.313 0.121
Y7 0.561 0.687 0.121
Y8 0.061 0.813 0.379
Y9 0.561 0.813 0.621
Y10 0.061 0.687 0.879
Y11 0.439 0.313 0.879
Y12 0.939 0.187 0.621
Y13 0.935 0.311 0.383
Y14 0.435 0.189 0.117
Y15 0.065 0.811 0.117
Y16 0.565 0.689 0.383
Y17 0.065 0.689 0.617
Y18 0.565 0.811 0.883
Y19 0.935 0.189 0.883
Y20 0.435 0.311 0.617
Th1 0.750 0.000 0.012
Th2 0.250 0.500 0.488
Th3 0.250 0.000 0.988
Th4 0.750 0.500 0.512

## Properties
Theoretical density = 5944 kg/m3


The most stable arrangement is (1), and the next structure is 14.2 kJ/mol of atoms less stable.


(1)
Material: Nd3Y6Th
Method: DFT, PBE
State: optimized geometry

abc: 9.988 9.988 6.985
angles: 44.36 44.36 60.00
Element x y z (fractional)
Nd1 0.400 0.400 0.799
Nd2 0.645 0.645 0.066
Nd3 0.156 0.156 0.532
Y1 0.900 0.574 0.301
Y2 0.226 0.900 0.301
Y3 0.574 0.226 0.301
Y4 0.069 0.400 0.801
Y5 0.731 0.069 0.801
Y6 0.400 0.731 0.801
Th1 0.900 0.900 0.299

## Properties
Theoretical density = 5843 kg/m3


(2)
Material: Nd3Y6Th
Method: DFT, PBE
State: optimized geometry

abc: 6.338 11.089 11.089
angles: 119.06 90.00 90.00
Element x y z (fractional)
Nd1 0.454 0.938 0.714
Nd2 0.954 0.714 0.938
Nd3 0.066 0.388 0.612
Nd4 0.566 0.612 0.388
Nd5 0.954 0.062 0.286
Nd6 0.454 0.286 0.062
Y1 0.040 0.709 0.619
Y2 0.540 0.619 0.709
Y3 0.373 0.537 0.956
Y4 0.873 0.956 0.537
Y5 0.395 0.954 0.046
Y6 0.645 0.274 0.726
Y7 0.145 0.726 0.274
Y8 0.895 0.046 0.954
Y9 0.373 0.044 0.463
Y10 0.873 0.463 0.044
Y11 0.040 0.381 0.291
Y12 0.540 0.291 0.381
Th1 0.142 0.205 0.795
Th2 0.642 0.795 0.205

## Properties
Theoretical density = 5841 kg/m3


The most stable arrangement is (2), and the next structure is 12.0 kJ/mol of atoms less stable.


(1)
Material: Nd4Y3Th2
Method: DFT, PBE
State: optimized geometry

abc: 3.603 3.603 27.168
angles: 90.00 90.00 120.00
Element x y z (fractional)
Nd1 0.000 0.000 0.546
Nd2 0.667 0.333 0.432
Nd3 0.667 0.333 0.216
Nd4 0.000 0.000 0.764
Y1 0.000 0.000 0.982
Y2 0.000 0.000 0.323
Y3 0.667 0.333 0.654
Th1 0.667 0.333 0.089
Th2 0.667 0.333 0.873

## Properties
Theoretical density = 7108 kg/m3


(2)
Material: Nd4Y3Th2
Method: DFT, PBE
State: optimized geometry

abc: 6.227 10.139 10.139
angles: 72.07 83.75 83.75
Element x y z (fractional)
Nd1 0.517 0.086 0.812
Nd2 0.983 0.188 0.914
Nd3 0.483 0.914 0.188
Nd4 0.017 0.812 0.086
Nd5 0.651 0.847 0.584
Nd6 0.849 0.416 0.153
Nd7 0.349 0.153 0.416
Nd8 0.151 0.584 0.847
Y1 0.081 0.943 0.718
Y2 0.419 0.282 0.057
Y3 0.919 0.057 0.282
Y4 0.581 0.718 0.943
Y5 0.250 0.392 0.608
Y6 0.750 0.608 0.392
Th1 0.190 0.747 0.470
Th2 0.310 0.530 0.253
Th3 0.810 0.253 0.530
Th4 0.690 0.470 0.747

## Properties
Theoretical density = 7197 kg/m3


The most stable arrangement is (1), and the next structure is 3.8 kJ/mol of atoms less stable.


(1)
Material: Nd2ThZn
Method: DFT, PBE
State: optimized geometry

abc: 4.913 4.844 4.844
angles: 90.00 90.00 90.00
Element x y z (fractional)
Zn1 0.500 0.000 0.000
Nd1 0.000 0.000 0.500
Nd2 0.000 0.500 0.000
Th1 0.500 0.500 0.500

## Properties
Theoretical density = 8440 kg/m3


(2)
Material: Nd2ThZn
Method: DFT, PBE
State: optimized geometry

abc: 3.646 3.646 8.758
angles: 90.00 90.00 90.00
Element x y z (fractional)
Zn1 0.500 0.500 0.000
Nd1 0.000 0.000 0.783
Nd2 0.000 0.000 0.217
Th1 0.500 0.500 0.500

## Properties
Theoretical density = 8357 kg/m3


The most stable arrangement is (2), and the next structure is 14.1 kJ/mol of atoms less stable.


(1)
Material: Nd2ThZn
Method: DFT, PBE
State: optimized geometry

abc: 3.636 3.636 10.845
angles: 80.35 80.35 60.00
Element x y z (fractional)
Nd1 0.073 0.073 0.781
Nd2 0.260 0.260 0.219
Th1 0.500 0.500 0.499
Zn1 0.666 0.666 0.001

## Properties
Theoretical density = 7986 kg/m3


(2)
Material: Nd2ThZn
Method: DFT, PBE
State: optimized geometry

abc: 3.650 3.650 10.706
angles: 80.19 80.19 60.00
Element x y z (fractional)
Zn1 0.000 0.000 0.000
Nd1 0.742 0.742 0.775
Nd2 0.258 0.258 0.225
Th1 0.500 0.500 0.500

## Properties
Theoretical density = 8033 kg/m3


The most stable arrangement is (2), and the next structure is 3.4 kJ/mol of atoms less stable.